Compound: CoPdF
Source: Alexandria
Functional: GGA+U
Structure: relaxed

Cell and atoms, written as CIF:
```
data_CoPdF
_symmetry_space_group_name_H-M 'P 1'
_symmetry_Int_Tables_number 1
_symmetry_space_group_name_Hall 'P 1'
_cell_length_a 2.862
_cell_length_b 5.092
_cell_length_c 6.367
_cell_angle_alpha 71.45
_cell_angle_beta 89.89
_cell_angle_gamma 73.72
loop_
_atom_site_label
_atom_site_type_symbol
_atom_site_fract_x
_atom_site_fract_y
_atom_site_fract_z
Co1 Co 0.131 0.238 0.279
Co2 Co 0.869 0.762 0.721
Pd1 Pd 0.376 0.744 0.064
Pd2 Pd 0.624 0.256 0.936
F1 F 0.356 0.788 0.482
F2 F 0.644 0.212 0.518
```

* SG: P-1 (2)
* V: 14.0 Å³/atom
* excess energy over the best structure of this formula in the dataset: 0.12 eV per formula unit
* E: -4.832 eV/atom